Entry 1:
Entry from Alexandria via LeMat-Bulk: crystalline MgTi5Ga3 at its relaxed geometry (PBE-GGA).

The formation energy is -361 meV/atom. The value obtained for the density of states at the Fermi level is 17.83 states/eV per cell. The value obtained for the calculated volume is 147.8 Å³/f.u.

The structure belongs to space group P6_3/mcm (No. 193); the cell edges are 7.8890, 7.8890 and 5.4827 Å and the angles 90.00°, 90.00° and 120.00°. The asymmetric unit holds Mg at (0.0000, 0.0000, 0.0000), Ti at (0.0000, 0.3292, 0.2500), Ti at (0.3333, 0.6667, 0.0000) and Ga at (0.0000, 0.3436, 0.7500).

Entry 2:
Entry from Alexandria via LeMat-Bulk: crystalline Mg6TiGa at its relaxed geometry (PBE-GGA).

As for the excess energy over the best structure of this formula in the dataset: 3 meV per atom. The formation energy is 28 meV/atom. The value obtained for the density of states at the Fermi level is 10.83 states/eV per cell. The value obtained for the calculated volume is 165.1 Å³/f.u.

The structure belongs to space group Amm2 (No. 38); the cell edges are 4.851, 6.242 and 10.906 Å and the angles 90.00°, 90.00° and 90.00°. The asymmetric unit holds Mg at (0.000, 0.000, 0.000), Mg at (0.000, 0.245, 0.253), Mg at (0.500, 0.000, 0.837), Mg at (0.500, 0.247, 0.588), Ti at (0.500, 0.000, 0.346) and Ga at (0.000, 0.000, 0.485).

Entry 3:
Entry from Alexandria via LeMat-Bulk: crystalline MgTiGa4 at its relaxed geometry (PBE-GGA).

The formation energy is -93 meV/atom. The value obtained for the density of states at the Fermi level is 13.52 states/eV per cell. The value obtained for the calculated volume is 103.7 Å³/f.u.

The structure belongs to space group F-43m (No. 216); the cell edges are 7.459, 7.459 and 7.459 Å and the angles 90.00°, 90.00° and 90.00°. The asymmetric unit holds Mg at (0.000, 0.000, 0.000), Ti at (0.250, 0.250, 0.250) and Ga at (0.125, 0.125, 0.625).

Entry 4:
Entry from Alexandria via LeMat-Bulk: crystalline MgTi2Ga at its relaxed geometry (PBE-GGA).

The formation energy is -82 meV/atom. The value obtained for the density of states at the Fermi level is 4.12 states/eV per cell. The value obtained for the calculated volume is 69.0 Å³/f.u.

The structure belongs to space group P4/mmm (No. 123); the cell edges are 3.413, 3.413 and 5.919 Å and the angles 90.00°, 90.00° and 90.00°. The asymmetric unit holds Mg at (0.000, 0.000, 0.000), Ti at (0.500, 0.500, 0.264) and Ga at (0.000, 0.000, 0.500).

Entry 5:
Entry from Alexandria via LeMat-Bulk: crystalline MgTi2Ga at its relaxed geometry (PBE-GGA).

The formation energy is -160 meV/atom. The value obtained for the density of states at the Fermi level is 4.79 states/eV per cell. The value obtained for the calculated volume is 68.1 Å³/f.u.

The structure belongs to space group P4/mmm (No. 123); the cell edges are 4.063, 4.063 and 4.126 Å and the angles 90.00°, 90.00° and 90.00°. The asymmetric unit holds Mg at (0.000, 0.000, 0.000), Ti at (0.000, 0.500, 0.500) and Ga at (0.500, 0.500, 0.000).

Entry 6:
Entry from Alexandria via LeMat-Bulk: crystalline MgTi3Ga at its relaxed geometry (PBE-GGA).

As for the excess energy over the best structure of this formula in the dataset: 614 meV per atom. The formation energy is 1144 meV/atom. The value obtained for the density of states at the Fermi level is 6.24 states/eV per cell. The value obtained for the calculated volume is 105.5 Å³/f.u.

The structure belongs to space group Pm-3m (No. 221); the cell edges are 4.725, 4.725 and 4.725 Å and the angles 90.00°, 90.00° and 90.00°. The asymmetric unit holds Mg at (0.000, 0.000, 0.000), Ti at (0.000, 0.000, 0.500) and Ga at (0.500, 0.500, 0.500).

Entry 7:
Entry from Alexandria via LeMat-Bulk: crystalline MgTi3Ga at its relaxed geometry (PBE-GGA).

As for the excess energy over the best structure of this formula in the dataset: 0 meV per atom. The formation energy is 530 meV/atom. The value obtained for the density of states at the Fermi level is 4.51 states/eV per cell. The value obtained for the calculated volume is 109.4 Å³/f.u.

The structure belongs to space group Pm-3m (No. 221); the cell edges are 4.783, 4.783 and 4.783 Å and the angles 90.00°, 90.00° and 90.00°. The asymmetric unit holds Mg at (0.000, 0.000, 0.000), Ti at (0.000, 0.500, 0.500) and Ga at (0.500, 0.500, 0.500).

Entry 8:
Entry from Alexandria via LeMat-Bulk: crystalline MgTiGa2 at its relaxed geometry (PBE-GGA).

The formation energy is -172 meV/atom. The value obtained for the density of states at the Fermi level is 12.62 states/eV per cell. The value obtained for the calculated volume is 71.2 Å³/f.u.

The structure belongs to space group R-3m (No. 166, hexagonal axes); the cell edges are 3.0061, 3.0061 and 27.2772 Å and the angles 90.00°, 90.00° and 120.00°. The asymmetric unit holds Mg at (0.0000, 0.0000, 0.0000), Ti at (0.0000, 0.0000, 0.5000) and Ga at (0.0000, 0.0000, 0.2474).

Entry 9:
Entry from Alexandria via LeMat-Bulk: crystalline Mg2TiGa2 at its relaxed geometry (PBE-GGA).

As for the excess energy over the best structure of this formula in the dataset: 83 meV per atom. The formation energy is 33 meV/atom. The value obtained for the density of states at the Fermi level is 4.59 states/eV per cell. The value obtained for the calculated volume is 91.5 Å³/f.u.

The structure belongs to space group P4/mbm (No. 127); the cell edges are 7.827, 7.827 and 2.986 Å and the angles 90.00°, 90.00° and 90.00°. The asymmetric unit holds Mg at (0.127, 0.373, 0.000), Ti at (0.000, 0.000, 0.000) and Ga at (0.174, 0.674, 0.500).

Entry 10:
Entry from Alexandria via LeMat-Bulk: crystalline Mg2Ti2Ga7 at its relaxed geometry (PBE-GGA).

The formation energy is 77 meV/atom. The value obtained for the density of states at the Fermi level is 13.08 states/eV per cell. The value obtained for the calculated volume is 222.0 Å³/f.u.

The structure belongs to space group Cmmm (No. 65); the cell edges are 7.211, 8.827 and 6.975 Å and the angles 90.00°, 90.00° and 90.00°. The asymmetric unit holds Mg at (0.184, 0.000, 0.000), Ti at (0.000, 0.315, 0.500), Ga at (0.000, 0.000, 0.500), Ga at (0.000, 0.500, 0.200) and Ga at (0.250, 0.250, 0.227).

Entry 11:
Entry from Alexandria via LeMat-Bulk: crystalline MgTi2Ga at its relaxed geometry (PBE-GGA).

The formation energy is 188 meV/atom. The value obtained for the density of states at the Fermi level is 12.89 states/eV per cell. The value obtained for the calculated volume is 81.7 Å³/f.u.

The structure belongs to space group R3m (No. 160, hexagonal axes); the cell edges are 4.4193, 4.4193 and 14.4850 Å and the angles 90.00°, 90.00° and 120.00°. The asymmetric unit holds Mg at (0.0000, 0.0000, 0.0000), Ti at (0.0000, 0.0000, 0.2075), Ti at (0.0000, 0.0000, 0.4401) and Ga at (0.0000, 0.0000, 0.8083).

Entry 12:
Entry from Alexandria via LeMat-Bulk: crystalline MgTiGa2 at its relaxed geometry (PBE-GGA).

The formation energy is 63 meV/atom. The value obtained for the density of states at the Fermi level is 6.13 states/eV per cell. The value obtained for the calculated volume is 74.9 Å³/f.u.

The structure belongs to space group I-42d (No. 122); the cell edges are 7.161, 7.161 and 5.843 Å and the angles 90.00°, 90.00° and 90.00°. The asymmetric unit holds Mg at (0.000, 0.000, 0.000), Ti at (0.000, 0.000, 0.500) and Ga at (0.250, 0.250, 0.125).